# 1
! GGA-PBE PrInPO, relaxed; values from VASP
! M_tot = 0.01 μB/cell
! Relative energy among the computed polymorphs = 113 meV per atom
! Total energy = -46.287 eV/cell
&SYSTEM
  ibrav = 0, nat = 8, ntyp = 4
/
ATOMIC_SPECIES
In 114.82 In.upf
Pr 140.91 Pr.upf
O 16.00 O.upf
P 30.97 P.upf
CELL_PARAMETERS angstrom
5.0359 0.0000 0.0000
0.0000 4.9973 0.0000
0.0000 0.0000 6.5508
ATOMIC_POSITIONS angstrom
In 0.0000 3.8997 2.8064
In 0.0000 1.0976 6.0818
Pr 2.5180 1.2530 3.7769
Pr 2.5180 3.7443 0.5015
O 2.5180 0.9320 6.1010
O 2.5180 4.0653 2.8256
P 0.0000 1.4151 2.0812
P 0.0000 3.5822 5.3567

# 2
! GGA-PBE Nd3Mg3CdHg2, relaxed; values from VASP
! M_tot = 0.00 μB/cell
! Total energy = -23.702 eV/cell
&SYSTEM
  ibrav = 0, nat = 9, ntyp = 4
/
ATOMIC_SPECIES
Cd 112.41 Cd.upf
Mg 24.30 Mg.upf
Nd 144.24 Nd.upf
Hg 200.59 Hg.upf
CELL_PARAMETERS angstrom
-0.3427 6.6771 -3.5362
-3.0891 -6.1272 -3.1814
-4.1501 0.9510 2.1980
ATOMIC_POSITIONS angstrom
Cd 0.0000 0.0000 0.0000
Mg -2.8981 0.6074 -0.5122
Mg -4.4232 -4.1820 -1.3194
Mg -2.3355 5.5511 -1.5890
Nd -1.3113 -2.6009 -1.3505
Nd -1.9750 0.3165 -3.8661
Nd -0.1455 2.8343 -1.5011
Hg -3.3332 2.8845 -2.3189
Hg -4.2486 -1.3836 -2.2007

# 3
! GGA-PBE MoIr6Os, relaxed; values from VASP
! M_tot = 0.00 μB/cell
! Energy of formation = -133 meV per atom
! Total energy = -76.268 eV/cell
&SYSTEM
  ibrav = 0, nat = 8, ntyp = 3
/
ATOMIC_SPECIES
Mo 95.94 Mo.upf
Ir 192.22 Ir.upf
Os 190.23 Os.upf
CELL_PARAMETERS angstrom
-3.6305 2.6548 -3.2213
4.4292 -2.4355 -2.2486
-2.2951 -3.7264 -0.4845
ATOMIC_POSITIONS angstrom
Mo 1.7426 -0.7388 -2.5728
Ir -2.5597 -0.4301 -4.5760
Ir -2.2960 1.8120 -3.0602
Ir -0.0670 0.5862 -4.1918
Ir -2.9557 -0.5388 -1.8633
Ir -0.4689 0.4759 -1.4391
Ir -0.7592 -1.7467 -2.9785
Os -1.1475 -1.8632 -0.2422

# 4
! GGA-PBE BaCdBi2, relaxed; values from VASP
! Total energy = -12.130 eV/cell
&SYSTEM
  ibrav = 0, nat = 4, ntyp = 3
/
ATOMIC_SPECIES
Cd 112.41 Cd.upf
Bi 208.98 Bi.upf
Ba 137.33 Ba.upf
CELL_PARAMETERS angstrom
-5.0045 1.0915 2.6530
-3.6643 3.8578 -2.2282
-4.9599 -1.7617 -2.3602
ATOMIC_POSITIONS angstrom
Cd -6.8143 1.5938 -0.9677
Bi 0.0000 0.0000 0.0000
Bi -3.4072 0.7969 -0.4839
Ba -10.2215 2.3906 -1.4516

# 5
! GGA-PBE Th2AuF11, relaxed; values from VASP
! M_tot = 0.00 μB/cell
! Total energy = -167.735 eV/cell
&SYSTEM
  ibrav = 0, nat = 28, ntyp = 3
/
ATOMIC_SPECIES
F 19.00 F.upf
Au 196.97 Au.upf
Th 232.04 Th.upf
CELL_PARAMETERS angstrom
0.0000 0.0000 -6.1950
5.5895 5.5895 3.0975
5.5895 -5.5895 -3.0975
ATOMIC_POSITIONS angstrom
F 5.5895 2.2242 -4.6462
F 4.2656 4.1694 0.0000
F 2.7948 2.7948 -1.5487
F 1.4201 -1.3239 -3.0975
F 9.7589 -1.3239 -6.1950
F 5.5895 -2.2242 -4.6462
F 7.8138 0.0000 -4.6462
F 5.5895 2.2242 -1.5487
F 3.3653 0.0000 -1.5487
F 5.5895 0.0000 0.0000
F 2.7948 -2.7948 -4.6462
F 4.2656 -4.1694 -3.0975
F 9.7589 1.3239 -3.0975
F 6.9135 4.1694 -3.0975
F 5.5895 0.0000 -3.0975
F 2.7948 2.7948 1.5487
F 3.3653 0.0000 -4.6462
F 6.9135 -4.1694 -6.1950
F 2.7948 -2.7948 -1.5487
F 1.4201 1.3239 0.0000
F 5.5895 -2.2242 -1.5487
F 7.8138 0.0000 -1.5487
Au 0.0000 0.0000 0.0000
Au 0.0000 0.0000 -3.0975
Th 7.2119 1.6224 -3.0975
Th 7.2119 -1.6224 -6.1950
Th 3.9671 1.6224 0.0000
Th 3.9671 -1.6224 -3.0975

# 6
! GGA-PBE Ni124Ge, relaxed; values from VASP
! M_tot = 75.18 μB/cell
! Total energy = -696.242 eV/cell
&SYSTEM
  ibrav = 0, nat = 125, ntyp = 2
/
ATOMIC_SPECIES
Ni 58.69 Ni.upf
Ge 72.64 Ge.upf
CELL_PARAMETERS angstrom
-11.7520 3.7705 1.5627
-6.3979 -3.5828 10.0498
-2.7540 8.2554 8.8899
ATOMIC_POSITIONS angstrom
Ni -4.7313 3.3403 5.8789
Ni -8.5699 1.1895 11.9093
Ni -13.2716 2.6980 12.5345
Ni -12.3340 7.2536 8.5930
Ni -10.7431 5.9638 13.7676
Ni -7.4757 -2.1026 8.3414
Ni -13.6144 6.5366 10.6042
Ni -6.5609 4.2736 9.6663
Ni -2.3656 0.7590 0.3146
Ni -6.0112 2.6231 7.8877
Ni -4.2132 3.5149 9.3544
Ni -11.4407 1.7637 8.7455
Ni -9.9832 6.4989 8.2816
Ni -9.6080 0.8259 4.9613
Ni -5.2512 3.1594 2.4033
Ni -9.3864 3.0115 1.2481
Ni -14.1644 8.1869 12.3830
Ni -12.0236 5.2467 15.7766
Ni -7.1120 5.9257 11.4453
Ni -10.1919 4.3118 11.9892
Ni -4.7631 5.1706 11.1329
Ni -8.1488 5.5665 4.4968
Ni -9.9407 4.6733 3.0376
Ni -4.7060 1.5099 0.6258
Ni -9.6410 2.6604 10.2109
Ni -4.3888 -0.4980 7.8068
Ni -2.3813 2.5851 5.5659
Ni -10.5334 8.1512 10.0594
Ni -13.8223 4.3499 14.3114
Ni -13.0938 6.7166 14.0795
Ni -4.9387 1.1577 9.5853
Ni -1.1028 3.3058 3.5599
Ni -7.3213 3.7380 15.1513
Ni -6.7395 0.2562 8.1193
Ni -10.5033 6.3195 4.8072
Ni -7.6323 5.7451 7.9678
Ni -10.8907 0.1126 6.9679
Ni -7.2895 1.9065 9.8982
Ni -10.9207 1.9442 12.2208
Ni -15.6215 3.4533 12.8468
Ni -13.7919 2.5174 9.0570
Ni -10.6742 2.2903 3.2711
Ni -2.9015 2.4054 2.0907
Ni -6.3572 6.4595 5.9558
Ni -16.7237 6.7547 16.4024
Ni -1.8306 0.9346 3.7883
Ni -6.2202 0.4370 11.5967
Ni -8.0234 -0.4537 10.1305
Ni -7.0816 4.0932 6.1910
Ni -4.1802 1.6884 4.0999
Ni -2.9318 4.2356 7.3430
Ni -12.8805 8.8968 10.3718
Ni -8.3616 3.3773 8.2010
Ni -3.1098 0.2184 5.7978
Ni -10.3706 0.2919 10.4430
Ni -3.4875 5.8725 9.1234
Ni -3.4523 4.0561 3.8682
Ni -7.8101 1.7265 6.4228
Ni -11.9918 3.4146 10.5235
Ni -5.2824 4.9897 7.6556
Ni -8.5419 -0.6382 6.6511
Ni -11.9613 1.5827 5.2713
Ni -6.1886 -1.3951 6.3411
Ni -5.4605 0.9715 6.1109
Ni -8.3913 5.2093 13.4548
Ni -7.2592 0.0751 4.6445
Ni -14.5196 0.1501 9.2897
Ni -15.4434 7.4716 14.3914
Ni -12.1698 -0.6037 8.9771
Ni -4.5652 7.3526 7.4150
Ni -1.6512 4.9496 5.3300
Ni -1.2879 -0.7212 2.0230
Ni -14.3721 6.0002 16.0897
Ni -13.0623 4.8854 8.8260
Ni -9.4632 6.6794 11.7569
Ni -7.6006 3.9131 2.7156
Ni -8.7042 7.2160 6.2720
Ni -11.0536 7.9698 6.5844
Ni -9.2548 8.8665 8.0493
Ni -8.1835 7.3972 9.7469
Ni -8.9121 5.0285 9.9789
Ni -15.0635 1.8050 11.0666
Ni -11.7834 5.6029 6.8154
Ni -3.6604 1.8689 7.5751
Ni -16.1726 5.1028 14.6235
Ni -14.8927 5.8200 12.6147
Ni -5.8018 4.8099 4.1806
Ni -9.4315 4.8484 6.5027
Ni -11.4724 3.5947 13.9997
Ni -5.6644 -1.1998 9.8163
Ni -10.7120 4.1313 8.5132
Ni -5.1101 -2.8616 8.0268
Ni -11.2629 5.7827 10.2915
Ni -0.5544 1.6618 1.7895
Ni -6.7706 2.0875 13.3737
Ni -7.0460 2.2606 0.9369
Ni -6.5319 2.4429 4.4126
Ni -11.8137 7.4342 12.0705
Ni -9.0902 1.0089 8.4318
Ni -5.8404 6.6381 9.4357
Ni -10.1608 2.4793 6.7348
Ni -2.5620 -1.4347 4.0244
Ni -14.3430 4.1695 10.8361
Ni -9.8205 -1.3575 8.6649
Ni -9.6732 4.4918 15.4561
Ni -6.0421 4.4542 13.1419
Ni -2.1996 6.5937 7.1004
Ni -12.5423 5.0658 12.3014
Ni -6.9054 8.1128 7.7370
Ni -4.0027 5.7064 5.6454
Ni -7.8416 3.5577 11.6763
Ni -13.2402 0.8664 7.2803
Ni -11.6045 9.6205 8.3619
Ni -4.9098 -0.6787 4.3321
Ni -8.3294 1.5452 2.9476
Ni -11.2307 3.9513 5.0463
Ni -3.8359 -2.1481 6.0254
Ni -12.7204 1.0459 10.7555
Ni -9.1205 2.8402 13.6869
Ni -12.5126 3.2338 7.0475
Ni -3.6304 0.0375 2.3227
Ni -8.8803 3.1964 4.7258
Ni -5.4915 2.8038 11.3646
Ni -5.9802 0.7913 2.6353
Ge 0.0000 0.0000 0.0000

# 7
! GGA-PBE LaCuGeTe3, relaxed; values from VASP
! M_tot = 0.00 μB/cell
! Total energy = -52.572 eV/cell
&SYSTEM
  ibrav = 0, nat = 12, ntyp = 4
/
ATOMIC_SPECIES
Te 127.60 Te.upf
La 138.91 La.upf
Cu 63.55 Cu.upf
Ge 72.64 Ge.upf
CELL_PARAMETERS angstrom
-5.2016 1.7384 5.1644
-1.7049 0.7649 7.2978
3.3177 11.0721 -0.3855
ATOMIC_POSITIONS angstrom
Te -4.2413 2.5591 8.1194
Te 1.8484 8.5361 0.8656
Te 0.6526 11.0164 3.9574
Te -5.4371 5.0395 11.2112
Te -0.4539 7.3237 4.0860
Te -3.1348 6.2518 7.9908
La 1.6589 5.5361 -0.1927
La 0.0000 0.0000 0.0000
Cu -0.7923 9.4932 5.6306
Cu -2.7964 4.0823 6.4462
Ge -2.8673 10.2453 9.3747
Ge -0.7214 3.3302 2.7021

# 8
! GGA-PBE LiRe2O4, relaxed; values from VASP
! M_tot = 0.00 μB/cell
! Total energy = -110.050 eV/cell
&SYSTEM
  ibrav = 0, nat = 14, ntyp = 3
/
ATOMIC_SPECIES
Re 186.21 Re.upf
O 16.00 O.upf
Li 6.94 Li.upf
CELL_PARAMETERS angstrom
4.1393 -4.1372 0.0000
-4.1393 0.0000 -4.1372
4.1393 4.1372 0.0000
ATOMIC_POSITIONS angstrom
Re 5.1741 -1.0343 -1.0343
Re 3.1045 1.0343 -1.0343
Re 1.0348 1.0343 -3.1029
Re -1.0348 -1.0343 -3.1029
O -1.0455 1.0462 -3.0910
O 3.1151 1.0224 -3.1148
O 1.0242 1.0224 -1.0224
O 3.0939 -1.0462 -1.0462
O 5.1848 1.0462 -1.0462
O 1.0455 -1.0462 -3.0910
O 1.0242 3.1148 -3.1148
O 3.1151 3.1148 -1.0224
Li 0.0000 0.0000 0.0000
Li 2.0697 -2.0686 -2.0686

# 9
! GGA-PBE ErTcBi, relaxed; values from VASP
! M_tot = 1.63 μB/cell
! Total energy = -17.803 eV/cell
&SYSTEM
  ibrav = 0, nat = 3, ntyp = 3
/
ATOMIC_SPECIES
Tc 98.00 Tc.upf
Bi 208.98 Bi.upf
Er 167.26 Er.upf
CELL_PARAMETERS angstrom
2.6073 -4.0084 -0.1320
-2.0680 -4.1622 -1.1324
0.9661 -2.0878 -4.1941
ATOMIC_POSITIONS angstrom
Tc 1.1291 -7.6939 -4.0939
Bi 0.0000 0.0000 0.0000
Er 0.3764 -2.5646 -1.3646

# 10
! GGA-PBE La2GdSn6Pb, relaxed; values from VASP
! M_tot = 0.01 μB/cell
! Total energy = -48.091 eV/cell
&SYSTEM
  ibrav = 0, nat = 10, ntyp = 4
/
ATOMIC_SPECIES
Sn 118.71 Sn.upf
Pb 207.20 Pb.upf
La 138.91 La.upf
Gd 157.25 Gd.upf
CELL_PARAMETERS angstrom
2.2927 -13.1387 0.0000
2.2927 13.1387 0.0000
0.0000 0.0000 4.7092
ATOMIC_POSITIONS angstrom
Sn 2.2927 -5.5563 2.3546
Sn 2.2927 -2.4545 0.0000
Sn 2.2927 -10.6517 2.3546
Sn 2.2927 5.5563 2.3546
Sn 2.2927 2.4545 0.0000
Sn 2.2927 10.6517 2.3546
Pb 2.2927 0.0000 2.3546
La 2.2927 -8.2879 0.0000
La 2.2927 8.2879 0.0000
Gd 0.0000 0.0000 0.0000

# 11
! GGA-PBE YUP2, relaxed; values from VASP
! M_tot = 1.51 μB/cell
! Total energy = -29.777 eV/cell
&SYSTEM
  ibrav = 0, nat = 4, ntyp = 3
/
ATOMIC_SPECIES
U 238.03 U.upf
P 30.97 P.upf
Y 88.91 Y.upf
CELL_PARAMETERS angstrom
-1.7160 -3.3684 0.6537
2.5273 1.3883 2.5305
-6.3182 4.0158 4.1072
ATOMIC_POSITIONS angstrom
U -2.0462 1.8106 3.9585
P -4.6363 0.9723 4.0971
P -2.2850 -0.5222 2.5687
Y -0.3015 -1.7828 1.2793

# 12
! GGA-PBE Y2HoGe4Pd4, relaxed; values from VASP
! M_tot = 0.00 μB/cell
! Total energy = -66.685 eV/cell
&SYSTEM
  ibrav = 0, nat = 11, ntyp = 4
/
ATOMIC_SPECIES
Y 88.91 Y.upf
Pd 106.42 Pd.upf
Ge 72.64 Ge.upf
Ho 164.93 Ho.upf
CELL_PARAMETERS angstrom
2.3118 -2.8261 7.2540
-2.6036 3.7746 6.7027
-1.5618 -4.2218 -6.7594
ATOMIC_POSITIONS angstrom
Y -2.1919 0.1313 5.1935
Y 0.3382 -3.4046 2.0038
Pd 0.0278 -1.4720 9.5687
Pd 0.1299 -1.8039 4.6845
Pd -1.8814 -1.8013 -2.3713
Pd -1.9836 -1.4694 2.5128
Ge -1.8489 -2.4211 0.1259
Ge -0.0636 0.2069 3.0439
Ge -0.0048 -0.8522 7.0714
Ge -0.2282 0.7416 10.9128
Ho 0.0000 0.0000 0.0000

# 13
! GGA-PBE BaAl2Ag, relaxed; values from VASP
! Total energy = -12.058 eV/cell
&SYSTEM
  ibrav = 0, nat = 4, ntyp = 3
/
ATOMIC_SPECIES
Ba 137.33 Ba.upf
Ag 107.87 Ag.upf
Al 26.98 Al.upf
CELL_PARAMETERS angstrom
0.8926 -4.5392 -2.3087
-3.9638 -2.9800 -1.4626
-1.0677 -0.5996 -5.0231
ATOMIC_POSITIONS angstrom
Ba 0.0000 0.0000 0.0000
Ag -3.1042 -6.0891 -6.5959
Al -1.0347 -2.0297 -2.1986
Al -2.0695 -4.0594 -4.3972

# 14
! GGA-PBE TmIrPd, relaxed; values from VASP
! M_tot = 0.00 μB/cell
! Energy of formation = -258 meV per atom
! Relative energy among the computed polymorphs = 0 meV per atom
! Total energy = -19.279 eV/cell
&SYSTEM
  ibrav = 0, nat = 3, ntyp = 3
/
ATOMIC_SPECIES
Pd 106.42 Pd.upf
Tm 168.93 Tm.upf
Ir 192.22 Ir.upf
CELL_PARAMETERS angstrom
2.2449 1.2961 3.6659
-2.2449 1.2961 3.6659
0.0000 -2.5922 3.6659
ATOMIC_POSITIONS angstrom
Pd 0.0000 0.0000 8.2482
Tm 0.0000 0.0000 2.7494
Ir 0.0000 0.0000 0.0000

# 15
! GGA-PBE PmCd, relaxed; values from VASP
! M_tot = 0.06 μB/cell
! Energy of formation = -110 meV per atom
! Total energy = -5.861 eV/cell
&SYSTEM
  ibrav = 0, nat = 2, ntyp = 2
/
ATOMIC_SPECIES
Pm 145.00 Pm.upf
Cd 112.41 Cd.upf
CELL_PARAMETERS angstrom
-3.2549 -1.2133 -0.3405
1.6465 -0.2572 3.0668
-1.9169 4.7419 1.4269
ATOMIC_POSITIONS angstrom
Pm -0.4665 0.6095 2.2877
Cd -3.0588 2.6618 1.8654

# 16
! GGA-PBE Tb2BrNCl2, relaxed; values from VASP
! M_tot = 0.00 μB/cell
! Relative energy among the computed polymorphs = 0 meV per atom
! Total energy = -70.348 eV/cell
&SYSTEM
  ibrav = 0, nat = 12, ntyp = 4
/
ATOMIC_SPECIES
Cl 35.45 Cl.upf
Tb 158.93 Tb.upf
N 14.01 N.upf
Br 79.90 Br.upf
CELL_PARAMETERS angstrom
8.2139 -1.9405 0.0000
8.2139 1.9405 0.0000
-5.6307 0.0000 9.3426
ATOMIC_POSITIONS angstrom
Cl 10.6476 0.0000 3.6411
Cl 0.1494 0.0000 5.7015
Cl 11.4491 0.0000 6.9619
Cl -0.6520 0.0000 2.3807
Tb 3.7647 0.0000 5.0862
Tb 13.0019 0.0000 1.9965
Tb -2.2049 0.0000 7.3461
Tb 7.0324 0.0000 4.2563
N 5.0306 0.0000 3.2278
N 5.7664 0.0000 6.1147
Br 0.0757 0.0000 9.1838
Br 10.7214 0.0000 0.1588

# 17
! GGA-PBE ScIr, relaxed; values from VASP
! M_tot = 0.00 μB/cell
! Energy of formation = -490 meV per atom
! Total energy = -16.163 eV/cell
&SYSTEM
  ibrav = 0, nat = 2, ntyp = 2
/
ATOMIC_SPECIES
Sc 44.96 Sc.upf
Ir 192.22 Ir.upf
CELL_PARAMETERS angstrom
3.1019 0.0000 0.0000
-1.5509 2.6863 0.0000
0.0000 0.0000 4.1655
ATOMIC_POSITIONS angstrom
Sc 0.0000 1.7908 1.0414
Ir 1.5509 0.8954 3.1242

# 18
! GGA-PBE Li2Zn2Ga2CuPd, relaxed; values from VASP
! Total energy = -24.240 eV/cell
&SYSTEM
  ibrav = 0, nat = 8, ntyp = 5
/
ATOMIC_SPECIES
Ga 69.72 Ga.upf
Zn 65.41 Zn.upf
Pd 106.42 Pd.upf
Cu 63.55 Cu.upf
Li 6.94 Li.upf
CELL_PARAMETERS angstrom
-3.4479 -0.2904 2.5322
-1.3642 -3.3879 -2.2461
3.0325 -3.6788 3.7070
ATOMIC_POSITIONS angstrom
Ga 0.5641 -2.9209 4.0630
Ga 0.0624 -2.5971 -0.2130
Zn -0.9869 -1.0393 2.1671
Zn 1.6133 -4.4787 1.6830
Pd -0.8898 -3.6786 1.9965
Cu 0.0000 0.0000 0.0000
Li 1.5162 -1.8394 1.8535
Li -2.4060 -1.8392 0.1430

# 19
! GGA-PBE YNb2Cu, relaxed; values from VASP
! M_tot = 0.00 μB/cell
! Energy of formation = 248 meV per atom
! Total energy = -29.379 eV/cell
&SYSTEM
  ibrav = 0, nat = 4, ntyp = 3
/
ATOMIC_SPECIES
Cu 63.55 Cu.upf
Y 88.91 Y.upf
Nb 92.91 Nb.upf
CELL_PARAMETERS angstrom
0.0000 3.3552 3.3552
3.3552 0.0000 3.3552
3.3552 3.3552 0.0000
ATOMIC_POSITIONS angstrom
Cu 1.6776 1.6776 1.6776
Y 3.3552 3.3552 3.3552
Nb 5.0328 5.0328 5.0328
Nb 0.0000 0.0000 0.0000